No. 1
## SrY3Bi (meta-GGA SCAN)

Data for a crystal of SrY3Bi relaxed with PBEsol.

Unit cell a=5.865 b=5.865 c=5.865 alpha=90.00 beta=90.00 gamma=90.00
Site moments in Bohr magnetons follow the coordinates.
Atoms (fractional coordinates):
Sr1 0.500 0.500 0.500  0.04
Y1 0.000 0.500 0.000  0.35
Y2 0.000 0.000 0.500  0.35
Y3 0.500 0.000 0.000  0.35
Bi1 0.000 0.000 0.000  0.01

Summary:
Electronic total energy ... -36.874 eV per atom
Energy of formation ... 0.00 eV per atom
SG ... Pm-3m
Density of states at the Fermi level ... 1.18 states/eV/atom

---

No. 2
## SrZnBi2 (meta-GGA SCAN)

Data for a crystal of SrZnBi2 relaxed with PBEsol.

Unit cell a=4.559 b=4.559 c=11.411 alpha=101.52 beta=101.52 gamma=90.00
Atoms (fractional coordinates):
Sr1 0.123 0.123 0.246
Sr2 0.877 0.877 0.754
Bi1 0.500 0.000 0.000
Bi2 0.330 0.330 0.659
Bi3 0.000 0.500 0.000
Bi4 0.670 0.670 0.341
Zn1 0.250 0.750 0.500
Zn2 0.750 0.250 0.500

Summary:
Electronic total energy ... -48.728 eV per atom
Energy of formation ... -0.49 eV per atom
SG ... I4/mmm
Density of states at the Fermi level ... 0.22 states/eV/atom

---

No. 3
## Sr2ZnBi2 (meta-GGA SCAN)

Data for a crystal of Sr2ZnBi2 relaxed with PBEsol.

Unit cell a=6.488 b=6.488 c=6.488 alpha=92.25 beta=118.71 gamma=118.71
Atoms (fractional coordinates):
Bi1 0.000 0.298 0.298
Bi2 0.000 0.702 0.702
Sr1 0.500 0.250 0.750
Sr2 0.500 0.750 0.250
Zn1 0.000 0.000 0.000

Summary:
Electronic total energy ... -43.466 eV per atom
Energy of formation ... -0.42 eV per atom
SG ... I4/mmm
Density of states at the Fermi level ... 0.18 states/eV/atom

---

No. 4
## SrZnBi2 (meta-GGA SCAN)

Data for a crystal of SrZnBi2 relaxed with PBEsol.

Unit cell a=6.595 b=6.814 c=6.814 alpha=76.46 beta=61.06 gamma=61.06
Atoms (fractional coordinates):
Bi1 0.375 0.443 0.057
Bi2 0.182 0.943 0.443
Bi3 0.568 0.057 0.557
Bi4 0.875 0.557 0.943
Zn1 0.500 0.000 0.000
Zn2 0.250 0.500 0.500
Sr1 0.750 0.500 0.500
Sr2 0.000 0.000 0.000

Summary:
Electronic total energy ... -48.651 eV per atom
Energy of formation ... -0.41 eV per atom
SG ... I-42d
Density of states at the Fermi level ... 0.20 states/eV/atom

---

No. 5
## Ta3TcBi (meta-GGA SCAN)

Data for a crystal of Ta3TcBi relaxed with PBEsol.

Unit cell a=4.810 b=4.810 c=4.810 alpha=90.00 beta=90.00 gamma=90.00
Atoms (fractional coordinates):
Ta1 0.000 0.000 0.500
Ta2 0.000 0.500 0.000
Ta3 0.500 0.000 0.000
Bi1 0.500 0.500 0.500
Tc1 0.000 0.000 0.000

Summary:
Electronic total energy ... -61.648 eV per atom
Energy of formation ... 1.03 eV per atom
SG ... Pm-3m
Density of states at the Fermi level ... 0.94 states/eV/atom

---

No. 6
## TaTcBi2 (meta-GGA SCAN)

Data for a crystal of TaTcBi2 relaxed with PBEsol.

Unit cell a=4.271 b=4.271 c=10.267 alpha=102.00 beta=102.00 gamma=90.00
Site moments in Bohr magnetons follow the coordinates.
Atoms (fractional coordinates):
Bi1 0.869 0.375 0.250  0.01
Bi2 0.381 0.875 0.250  0.01
Bi3 0.625 0.619 0.750  0.01
Bi4 0.125 0.131 0.750  0.01
Ta1 0.000 0.000 0.000  -0.22
Ta2 0.250 0.750 0.500  -0.22
Tc1 0.500 0.500 0.000  1.25
Tc2 0.750 0.250 0.500  1.25

Summary:
Electronic total energy ... -63.687 eV per atom
Energy of formation ... 1.01 eV per atom
SG ... I-42d
Density of states at the Fermi level ... 0.75 states/eV/atom

---

No. 7
## TaTi2TcBi (meta-GGA SCAN)

Data for a crystal of TaTi2TcBi relaxed with PBEsol.

Unit cell a=4.691 b=4.691 c=5.247 alpha=90.00 beta=90.00 gamma=90.00
Site moments in Bohr magnetons follow the coordinates.
Atoms (fractional coordinates):
Ta1 0.000 0.000 0.000  0.05
Ti1 0.500 0.000 0.000  -0.38
Ti2 0.000 0.500 0.000  -0.38
Tc1 0.500 0.500 0.500  3.16
Bi1 0.000 0.000 0.500  -0.02

Summary:
Electronic total energy ... -40.998 eV per atom
Energy of formation ... 1.46 eV per atom
SG ... P4/mmm
Density of states at the Fermi level ... 1.15 states/eV/atom

---

No. 8
## TaTiBi3 (meta-GGA SCAN)

Data for a crystal of TaTiBi3 relaxed with PBEsol.

Unit cell a=5.253 b=5.253 c=5.253 alpha=90.00 beta=90.00 gamma=90.00
Site moments in Bohr magnetons follow the coordinates.
Atoms (fractional coordinates):
Ta1 0.500 0.500 0.500  2.14
Bi1 0.500 0.000 0.000  0.02
Bi2 0.000 0.500 0.000  0.02
Bi3 0.000 0.000 0.500  0.02
Ti1 0.000 0.000 0.000  0.15

Summary:
Electronic total energy ... -62.498 eV per atom
Energy of formation ... 1.17 eV per atom
SG ... Pm-3m
Density of states at the Fermi level ... 1.02 states/eV/atom

---

No. 9
## Ta3ZnBi (meta-GGA SCAN)

Data for a crystal of Ta3ZnBi relaxed with PBEsol.

Unit cell a=4.714 b=4.714 c=4.714 alpha=90.00 beta=90.00 gamma=90.00
Atoms (fractional coordinates):
Ta1 0.500 0.000 0.000
Ta2 0.000 0.000 0.500
Ta3 0.000 0.500 0.000
Bi1 0.500 0.500 0.500
Zn1 0.000 0.000 0.000

Summary:
Electronic total energy ... -57.098 eV per atom
Energy of formation ... 1.27 eV per atom
SG ... Pm-3m
Density of states at the Fermi level ... 1.25 states/eV/atom

---

No. 10
## Tb5Bi3 (meta-GGA SCAN)

Data for a crystal of Tb5Bi3 relaxed with PBEsol.

Unit cell a=6.281 b=9.080 c=9.080 alpha=120.00 beta=90.00 gamma=90.00
Atoms (fractional coordinates):
Tb1 0.750 0.244 0.244
Tb2 0.750 0.756 0.000
Tb3 0.250 0.756 0.756
Tb4 0.500 0.667 0.333
Tb5 0.250 0.244 0.000
Tb6 0.500 0.333 0.667
Tb7 0.750 0.000 0.756
Tb8 0.000 0.667 0.333
Tb9 0.250 0.000 0.244
Tb10 0.000 0.333 0.667
Bi1 0.750 0.389 0.000
Bi2 0.750 0.000 0.389
Bi3 0.750 0.611 0.611
Bi4 0.250 0.611 0.000
Bi5 0.250 0.389 0.389
Bi6 0.250 0.000 0.611

Summary:
Electronic total energy ... -59.527 eV per atom
Energy of formation ... -0.83 eV per atom
Excess energy over the best structure of this formula in the dataset ... 0.0 meV per atom
SG ... P6_3/mcm
Density of states at the Fermi level ... 0.79 states/eV/atom

---

No. 11
## TbBi (meta-GGA SCAN)

Data for a crystal of TbBi relaxed with PBEsol.

Unit cell a=4.415 b=4.415 c=4.415 alpha=60.00 beta=60.00 gamma=60.00
Atoms (fractional coordinates):
Tb1 0.000 0.000 0.000
Bi1 0.500 0.500 0.500

Summary:
Electronic total energy ... -63.691 eV per atom
Energy of formation ... -1.02 eV per atom
SG ... Fm-3m
Density of states at the Fermi level ... 0.15 states/eV/atom

---

No. 12
## Tb4Bi3 (meta-GGA SCAN)

Data for a crystal of Tb4Bi3 relaxed with PBEsol.

Unit cell a=8.029 b=8.029 c=8.029 alpha=109.47 beta=109.47 gamma=109.47
Atoms (fractional coordinates):
Bi1 0.125 0.875 0.250
Bi2 0.750 0.125 0.375
Bi3 0.625 0.250 0.875
Bi4 0.250 0.375 0.125
Bi5 0.375 0.625 0.750
Bi6 0.875 0.750 0.625
Tb1 0.500 0.854 0.500
Tb2 0.354 0.000 0.000
Tb3 0.000 0.500 0.354
Tb4 0.646 0.646 0.146
Tb5 0.854 0.000 0.000
Tb6 0.500 0.354 0.500
Tb7 0.146 0.146 0.646
Tb8 0.000 0.500 0.854

Summary:
Electronic total energy ... -61.275 eV per atom
Energy of formation ... -0.88 eV per atom
SG ... I-43d
Density of states at the Fermi level ... 0.99 states/eV/atom